# CuPtCl2

A relaxed structure of CuPtCl2 (PBE-GGA, Alexandria via LeMat-Bulk).

Unit cell a=3.2663 b=3.2663 c=22.1458 alpha=90.00 beta=90.00 gamma=120.00
Space group R-3m (No. 166, hexagonal axes)
Symmetry-distinct sites (fractional):
Cu: 0.0000 0.0000 0.0000 (multiplicity 3)
Pt: 0.0000 0.0000 0.5000 (multiplicity 3)
Cl: 0.0000 0.0000 0.2628 (multiplicity 6)

Calculated values
The calculation puts the total energy at -38.15 eV for the cell shown. The polymorph energy (0 for the lowest one) is 0.366 eV per atom.